DFT (PBE-GGA) results for a geometry-optimized La2YGa structure.

Lattice parameters (Å, degrees): 6.536 6.536 9.647 90.00 90.00 142.42
Sites, in units of the cell vectors:
La1 0.140 0.860 0.560
La2 0.140 0.860 0.940
La3 0.860 0.140 0.060
La4 0.860 0.140 0.440
Y1 0.433 0.567 0.750
Y2 0.567 0.433 0.250
Ga1 0.238 0.762 0.250
Ga2 0.762 0.238 0.750

- Mass density: 5.77 g/cm³
- Calculated total energy: -5.10 eV per atom
- Formation enthalpy at 0 K: -268 meV per atom

---

DFT (PBE-GGA) results for a geometry-optimized Pu2NpBe2Ru5 structure.

Lattice parameters (Å, degrees): 9.782 9.782 3.287 90.00 90.00 90.00
Sites, in units of the cell vectors:
Pu1 0.172 0.328 0.000
Pu2 0.328 0.828 0.000
Pu3 0.672 0.172 0.000
Pu4 0.828 0.672 0.000
Np1 0.000 0.000 0.000
Np2 0.500 0.500 0.000
Be1 0.122 0.622 0.000
Be2 0.378 0.122 0.000
Be3 0.622 0.878 0.000
Be4 0.878 0.378 0.000
Ru1 0.000 0.500 0.500
Ru2 0.071 0.789 0.500
Ru3 0.211 0.071 0.500
Ru4 0.289 0.571 0.500
Ru5 0.429 0.289 0.500
Ru6 0.500 0.000 0.500
Ru7 0.571 0.711 0.500
Ru8 0.711 0.429 0.500
Ru9 0.789 0.929 0.500
Ru10 0.929 0.211 0.500

- Mass density: 13.18 g/cm³
- Calculated total energy: -9.79 eV per atom
- Formation enthalpy at 0 K: -246 meV per atom

---

DFT (PBE-GGA) results for a geometry-optimized Be3PW structure.

Lattice parameters (Å, degrees): 3.974 3.974 3.974 90.00 90.00 90.00
Sites, in units of the cell vectors:
Be1 0.000 0.000 0.500
Be2 0.000 0.500 0.000
Be3 0.500 0.000 0.000
P1 0.000 0.000 0.000
W1 0.500 0.500 0.500

- Mass density: 6.40 g/cm³
- Polymorph energy (0 for the lowest one): 0 meV/atom
- Calculated total energy: -4.81 eV per atom
- Formation enthalpy at 0 K: 1094 meV per atom